# 1
A plane-wave DFT calculation with PBE-GGA was carried out for crystalline Na4Zr3NpS8 at its relaxed geometry.

a b c (Å): 8.0754 8.0754 8.0754
angles (deg): 55.48 55.48 55.48
Last column: nearest neighbours and their distance in Å.
Sites, in units of the cell vectors:
1 Na 0.0000 0.0000 0.0000  6 S 2.81
2 Na 0.0000 0.5000 0.5000  6 S 2.87-2.88
3 Na 0.5000 0.0000 0.5000  6 S 2.87-2.88
4 Na 0.5000 0.5000 0.0000  6 S 2.87-2.88
5 Zr 0.0000 0.0000 0.5000  6 S 2.64-2.65
6 Zr 0.0000 0.5000 0.0000  6 S 2.64-2.65
7 Zr 0.5000 0.0000 0.0000  6 S 2.64-2.65
8 Np 0.5000 0.5000 0.5000  6 S 2.72
9 S 0.2318 0.7476 0.7476  2 Zr 2.64, 1 Np 2.72, 3 Na 2.81-2.88
10 S 0.2411 0.2411 0.2411  3 Zr 2.65, 3 Na 2.87
11 S 0.2524 0.2524 0.7682  2 Zr 2.64, 1 Np 2.72, 3 Na 2.81-2.88
12 S 0.2524 0.7682 0.2524  2 Zr 2.64, 1 Np 2.72, 3 Na 2.81-2.88
13 S 0.7476 0.2318 0.7476  2 Zr 2.64, 1 Np 2.72, 3 Na 2.81-2.88
14 S 0.7476 0.7476 0.2318  2 Zr 2.64, 1 Np 2.72, 3 Na 2.81-2.88
15 S 0.7589 0.7589 0.7589  3 Zr 2.65, 3 Na 2.87
16 S 0.7682 0.2524 0.2524  2 Zr 2.64, 1 Np 2.72, 3 Na 2.81-2.88

Computed properties:
The calculation puts the total energy at -0.2298 hartree per atom. Its uncorrected formation energy is -1449 meV/atom.


# 2
A plane-wave DFT calculation with PBE-GGA was carried out for crystalline CaIn2Te at its relaxed geometry.

a b c (Å): 9.1068 9.1068 9.1068
angles (deg): 25.88 25.88 25.88
Last column: nearest neighbours and their distance in Å.
Sites, in units of the cell vectors:
1 Ca 0.0000 0.0000 0.0000  6 In 3.36
2 In 0.2425 0.2425 0.2425  3 Te 3.09, 3 Ca 3.36
3 In 0.7575 0.7575 0.7575  3 Te 3.09, 3 Ca 3.36
4 Te 0.5000 0.5000 0.5000  6 In 3.09

Computed properties:
The calculation puts the total energy at -0.1062 hartree per atom. Its uncorrected formation energy is -236 meV/atom.


# 3
A plane-wave DFT calculation with PBE-GGA was carried out for crystalline RuPtW2 at its relaxed geometry.

a b c (Å): 3.9296 3.9296 3.9491
angles (deg): 90.00 90.00 90.00
Last column: nearest neighbours and their distance in Å.
Sites, in units of the cell vectors:
1 Ru 0.0000 0.0000 0.0000  4 Pt 2.78, 8 W 2.79
2 Pt 0.5000 0.5000 0.0000  4 Ru 2.78, 8 W 2.79
3 W 0.0000 0.5000 0.5000  4 W 2.78, 4 Ru 2.79, 4 Pt 2.79
4 W 0.5000 0.0000 0.5000  4 W 2.78, 4 Ru 2.79, 4 Pt 2.79

Computed properties:
The calculation puts the total energy at -0.3850 hartree per atom. The offset from the most stable computed form is 0.000 eV/f.u. For the energy relative to the elements, the calculation gives -0.172 eV per atom.


Ordered mass density results: 4.28, 5.20, 18.08; unit g/cm3.
Ordered total moment results: 4.3, 0.0, 0.0; unit Bohr magnetons per cell.